[1]
An optimized crystal structure of Cd3Ga2Ag8, computed with PBE-GGA.

abc: 4.627 8.346 8.352
angles: 52.38 90.00 90.00
Fractional coordinates of all 13 atoms:
Ag1 0.000 0.677 0.676
Ag2 0.000 0.323 0.324
Ag3 0.000 0.869 0.869
Ag4 0.500 0.819 0.419
Ag5 0.500 0.419 0.820
Ag6 0.000 0.131 0.131
Ag7 0.500 0.581 0.180
Ag8 0.500 0.181 0.581
Cd1 0.000 0.302 0.698
Cd2 0.500 0.000 0.000
Cd3 0.000 0.698 0.302
Ga1 0.500 0.774 0.773
Ga2 0.500 0.226 0.227

Computed properties:
**Space group**: P2/m (10)
**E_tot**: -2.3916 eV/atom
**DFT formation energy**: 0.040 eV per atom
**Energy above the lowest structure with this stoichiometry**: 0 meV/atom

[2]
An optimized crystal structure of Sn3SbS6, computed with PBE-GGA.

abc: 3.779 12.693 11.289
angles: 105.08 90.00 90.00
Fractional coordinates of all 20 atoms:
S1 0.250 0.596 0.938
S2 0.250 0.199 0.245
S3 0.750 0.124 0.484
S4 0.750 0.937 0.110
S5 0.750 0.801 0.755
S6 0.750 0.404 0.062
S7 0.250 0.063 0.890
S8 0.750 0.689 0.228
S9 0.250 0.311 0.772
S10 0.250 0.500 0.355
S11 0.250 0.876 0.516
S12 0.750 0.500 0.645
Sn1 0.250 0.355 0.549
Sn2 0.750 0.645 0.451
Sn3 0.750 0.450 0.851
Sn4 0.750 0.130 0.072
Sn5 0.250 0.550 0.149
Sn6 0.250 0.870 0.928
Sb1 0.750 0.965 0.662
Sb2 0.250 0.035 0.338

Computed properties:
**Space group**: P2_1/m (11)
**ΔE_f (raw)**: -309 meV/atom
**E_tot**: -4.3987 eV/atom

[3]
An optimized crystal structure of NaTa3Rh, computed with PBE-GGA.

abc: 4.585 4.585 4.585
angles: 90.00 90.00 90.00
Fractional coordinates of all 5 atoms:
Rh1 0.500 0.500 0.500
Ta1 0.000 0.000 0.500
Ta2 0.000 0.500 0.000
Ta3 0.500 0.000 0.000
Na1 0.000 0.000 0.000

Computed properties:
**Space group**: Pm-3m (221)
**E_tot**: -6.4991 eV/atom
**DFT formation energy**: 2.347 eV per atom
**Energy above the lowest structure with this stoichiometry**: 1142 meV/atom

[4]
An optimized crystal structure of HoU2PaP4, computed with PBE-GGA.

abc: 3.930 6.812 6.919
angles: 109.14 90.00 90.00
Last column: magnetic moment on the atom in μB.
Fractional coordinates of all 8 atoms:
Ho1 0.500 0.500 0.000  -0.03
P1 0.000 0.752 0.253  -0.04
P2 0.500 0.749 0.749  -0.04
P3 0.500 0.251 0.251  -0.04
P4 0.000 0.248 0.747  -0.04
U1 0.500 0.000 0.500  1.98
U2 0.000 0.500 0.500  1.98
Pa1 0.000 0.000 0.000  0.18

Computed properties:
**Space group**: P2/m (10)
**E_tot**: -8.4967 eV/atom
**DFT formation energy**: -1.210 eV per atom

[5]
An optimized crystal structure of Ac2La2Tm, computed with PBE-GGA.

abc: 6.624 6.624 10.096
angles: 111.28 97.00 105.13
Fractional coordinates of all 10 atoms:
Ac1 0.471 0.367 0.148
Ac2 0.781 0.177 0.648
Ac3 0.529 0.633 0.852
Ac4 0.219 0.823 0.352
Tm1 0.738 0.988 0.250
Tm2 0.262 0.012 0.750
La1 0.226 0.399 0.485
La2 0.086 0.758 0.985
La3 0.774 0.601 0.515
La4 0.914 0.242 0.015

Computed properties:
**Space group**: C2/c (15)
**E_tot**: -4.3843 eV/atom
**DFT formation energy**: 0.124 eV per atom

[6]
An optimized crystal structure of TlReAu2, computed with PBE-GGA.

abc: 3.813 2.786 8.166
angles: 70.23 90.00 90.00
Last column: magnetic moment on the atom in μB.
Fractional coordinates of all 4 atoms:
Re1 0.500 0.250 0.250  0.79
Tl1 0.500 0.750 0.750  0.00
Au1 0.000 0.552 0.451  0.03
Au2 0.000 0.948 0.049  0.03

Computed properties:
**Space group**: P2/m (10)
**E_tot**: -4.7036 eV/atom
**DFT formation energy**: 0.639 eV per atom
**Energy above the lowest structure with this stoichiometry**: 118 meV/atom

[7]
An optimized crystal structure of LiGdGe, computed with PBE-GGA.

abc: 3.995 3.995 5.012
angles: 113.48 113.48 90.00
Last column: magnetic moment on the atom in μB.
Fractional coordinates of all 3 atoms:
Li1 0.954 0.954 0.909  0.01
Ge1 0.270 0.270 0.541  -0.05
Gd1 0.625 0.625 0.250  7.09

Computed properties:
**Space group**: I4mm (107)
**E_tot**: -7.1921 eV/atom
**DFT formation energy**: -0.321 eV per atom
**Energy above the lowest structure with this stoichiometry**: 386 meV/atom

[8]
An optimized crystal structure of K2LiIn6, computed with PBE-GGA.

abc: 3.574 9.155 9.155
angles: 60.00 89.99 89.99
Fractional coordinates of all 9 atoms:
Li1 0.000 0.000 0.000
K1 0.000 0.333 0.333
K2 0.000 0.667 0.667
In1 0.500 0.000 0.679
In2 0.500 0.000 0.321
In3 0.500 0.679 0.321
In4 0.500 0.321 0.000
In5 0.500 0.679 0.000
In6 0.500 0.321 0.679

Computed properties:
**Space group**: P6/mmm (191)
**E_tot**: -2.3675 eV/atom
**DFT formation energy**: -0.085 eV per atom

[9]
An optimized crystal structure of BeAgW2, computed with PBE-GGA.

abc: 5.030 5.030 5.030
angles: 136.51 136.51 63.19
Fractional coordinates of all 4 atoms:
Be1 0.750 0.250 0.500
W1 0.000 0.000 0.000
W2 0.500 0.500 0.000
Ag1 0.250 0.750 0.500

Computed properties:
**Space group**: I4/mmm (139)
**E_tot**: -7.6050 eV/atom
**DFT formation energy**: 0.516 eV per atom

[10]
An optimized crystal structure of Mg2Bi, computed with PBE-GGA.

abc: 5.551 5.551 5.767
angles: 90.00 90.00 118.19
Fractional coordinates of all 6 atoms:
Mg1 0.607 0.932 0.250
Mg2 0.932 0.607 0.250
Mg3 0.068 0.393 0.750
Mg4 0.393 0.068 0.750
Bi1 0.263 0.263 0.250
Bi2 0.737 0.737 0.750

Computed properties:
**Space group**: Cmcm (63)
**E_tot**: -2.4021 eV/atom
**DFT formation energy**: -0.045 eV per atom

[11]
An optimized crystal structure of Er3P, computed with PBE-GGA.

abc: 3.671 6.167 5.920
angles: 121.39 108.06 90.00
Fractional coordinates of all 4 atoms:
P1 0.000 0.065 0.000
Er1 0.500 0.387 0.000
Er2 0.309 0.666 0.618
Er3 0.691 0.048 0.382

Computed properties:
**Space group**: Imm2 (44)
**E_tot**: -5.3663 eV/atom
**DFT formation energy**: -0.592 eV per atom
**Energy above the lowest structure with this stoichiometry**: 0 meV/atom

[12]
An optimized crystal structure of AsRh2N, computed with PBE-GGA.

abc: 4.156 4.156 4.156
angles: 60.00 60.00 60.00
Last column: magnetic moment on the atom in μB.
Fractional coordinates of all 4 atoms:
As1 0.500 0.500 0.500  -0.01
Rh1 0.750 0.750 0.750  0.42
Rh2 0.250 0.250 0.250  0.42
N1 0.000 0.000 0.000  0.21

Computed properties:
**Space group**: Fm-3m (225)
**ΔE_f (raw)**: 642 meV/atom
**E_tot**: -6.2779 eV/atom
**Energy above the lowest structure with this stoichiometry**: 553 meV/atom